Entry 1:
A plane-wave DFT calculation with PBE was carried out for a geometry-optimized HgTe2Au structure.

Output
E_form (uncorrected) = 0.1011 eV per atom

Geometry as extended XYZ:
```
8
Lattice="9.178 0.000 0.000 0.000 9.178 0.000 4.589 4.589 2.738" Properties=species:S:1:pos:R:3 pbc="T T T"
Te 7.380 2.791 0.000
Te 1.798 6.387 0.000
Te 2.791 1.798 0.000
Te 6.387 7.380 0.000
Au 9.178 4.589 1.369
Au 4.589 9.178 1.369
Hg 9.178 9.178 1.369
Hg 4.589 4.589 1.369
```

=====

Entry 2:
A plane-wave DFT calculation with PBE was carried out for a geometry-optimized AcZnSn2 structure.

Output
electronic total energy = -3.61 eV/atom

Geometry as extended XYZ:
```
4
Lattice="-2.029 -3.208 -0.683 0.917 -1.325 3.503 -6.029 3.218 2.795" Properties=species:S:1:pos:R:3 pbc="T T T"
Zn -0.556 -2.267 1.410
Ac -3.570 -0.658 2.808
Sn -4.837 2.582 2.243
Sn -1.191 0.636 0.552
```

=====

Entry 3:
A plane-wave DFT calculation with PBE was carried out for a geometry-optimized BeSi2Ru structure.

Output
E_form (uncorrected) = -0.1872 eV per atom

Geometry as extended XYZ:
```
4
Lattice="-0.699 -4.045 -1.104 -1.162 -3.708 1.721 -4.219 0.321 -0.729" Properties=species:S:1:pos:R:3 pbc="T T T"
Ru -1.520 -1.858 -0.028
Si -6.052 -7.376 -0.114
Si -3.067 -3.772 -0.054
Be -4.560 -5.574 -0.084
```